# LiLaZr2 (PBE-GGA, optimized geometry)
# **Raw total energy**: -5.5301 eV per atom
# **Energy of formation from the pure elements**: 1.817 eV/f.u.
# **Magnetic moment**: 0.0 Bohr magnetons per cell
data_LiLaZr2
_cell_length_a 4.264
_cell_length_b 4.264
_cell_length_c 21.891
_cell_angle_alpha 90.00
_cell_angle_beta 90.00
_cell_angle_gamma 90.00
_symmetry_space_group_name_H-M 'I -4 2 d'
_symmetry_Int_Tables_number 122
_symmetry_space_group_name_Hall 'I -4 2bw'
loop_
_atom_site_label
_atom_site_fract_x
_atom_site_fract_y
_atom_site_fract_z
Li1 0.000 0.000 0.000
La1 0.000 0.000 0.500
Zr1 0.239 0.250 0.125

# LiLaZr2 (PBE-GGA, optimized geometry)
# **Raw total energy**: -5.6874 eV per atom
# **Energy of formation from the pure elements**: 1.188 eV/f.u.
# **Magnetic moment**: 0.0 Bohr magnetons per cell
data_LiLaZr2
_cell_length_a 4.468
_cell_length_b 4.468
_cell_length_c 4.921
_cell_angle_alpha 90.00
_cell_angle_beta 90.00
_cell_angle_gamma 90.00
_symmetry_space_group_name_H-M 'P 4/m m m'
_symmetry_Int_Tables_number 123
_symmetry_space_group_name_Hall '-P 4 2'
loop_
_atom_site_label
_atom_site_fract_x
_atom_site_fract_y
_atom_site_fract_z
Li1 0.000 0.000 0.000
La1 0.500 0.500 0.000
Zr1 0.000 0.500 0.500

# LiLaZr2 (PBE-GGA, optimized geometry)
# **Raw total energy**: -5.7322 eV per atom
# **Energy of formation from the pure elements**: 1.009 eV/f.u.
# **Magnetic moment**: 0.0 Bohr magnetons per cell
data_LiLaZr2
_cell_length_a 3.406
_cell_length_b 3.406
_cell_length_c 8.139
_cell_angle_alpha 90.00
_cell_angle_beta 90.00
_cell_angle_gamma 90.00
_symmetry_space_group_name_H-M 'P 4/m m m'
_symmetry_Int_Tables_number 123
_symmetry_space_group_name_Hall '-P 4 2'
loop_
_atom_site_label
_atom_site_fract_x
_atom_site_fract_y
_atom_site_fract_z
Li1 0.000 0.000 0.000
La1 0.000 0.000 0.500
Zr1 0.500 0.500 0.198

# LiLaZr2 (PBE-GGA, optimized geometry)
# **Raw total energy**: -5.5795 eV per atom
# **Energy of formation from the pure elements**: 1.620 eV/f.u.
# **Magnetic moment**: 0.0 Bohr magnetons per cell
data_LiLaZr2
_cell_length_a 5.359
_cell_length_b 5.359
_cell_length_c 3.353
_cell_angle_alpha 90.00
_cell_angle_beta 90.00
_cell_angle_gamma 90.00
_symmetry_space_group_name_H-M 'P 4/m m m'
_symmetry_Int_Tables_number 123
_symmetry_space_group_name_Hall '-P 4 2'
loop_
_atom_site_label
_atom_site_fract_x
_atom_site_fract_y
_atom_site_fract_z
Li1 0.000 0.000 0.000
La1 0.500 0.500 0.000
Zr1 0.000 0.500 0.500

# LiLa2Zr (PBE-GGA, optimized geometry)
# **ΔE to the lowest computed polymorph**: 0.92 eV per formula unit
# **Raw total energy**: -4.7371 eV per atom
# **Energy of formation from the pure elements**: 1.368 eV/f.u.
# **Magnetic moment**: 6.8 Bohr magnetons per cell
data_LiLa2Zr
_cell_length_a 7.617
_cell_length_b 7.617
_cell_length_c 7.617
_cell_angle_alpha 90.00
_cell_angle_beta 90.00
_cell_angle_gamma 90.00
_symmetry_space_group_name_H-M 'F -4 3 m'
_symmetry_Int_Tables_number 216
_symmetry_space_group_name_Hall 'F -4 2 3'
loop_
_atom_site_label
_atom_site_fract_x
_atom_site_fract_y
_atom_site_fract_z
Li1 0.000 0.000 0.000
La1 0.000 0.000 0.500
La2 0.250 0.250 0.750
Zr1 0.250 0.250 0.250

# LiLaZr2 (PBE-GGA, optimized geometry)
# **Raw total energy**: -5.8524 eV per atom
# **Energy of formation from the pure elements**: 0.528 eV/f.u.
# **Magnetic moment**: 0.0 Bohr magnetons per cell
data_LiLaZr2
_cell_length_a 3.280
_cell_length_b 3.280
_cell_length_c 9.431
_cell_angle_alpha 90.00
_cell_angle_beta 90.00
_cell_angle_gamma 90.00
_symmetry_space_group_name_H-M 'P 4 m m'
_symmetry_Int_Tables_number 99
_symmetry_space_group_name_Hall 'P 4 -2'
loop_
_atom_site_label
_atom_site_fract_x
_atom_site_fract_y
_atom_site_fract_z
Li1 0.000 0.000 0.000
La1 0.500 0.500 0.732
Zr1 0.000 0.000 0.450
Zr2 0.500 0.500 0.229

# LiLaZr2 (PBE-GGA, optimized geometry)
# **Raw total energy**: -5.6697 eV per atom
# **Energy of formation from the pure elements**: 1.259 eV/f.u.
# **Magnetic moment**: 0.0 Bohr magnetons per cell
data_LiLaZr2
_cell_length_a 3.259
_cell_length_b 5.271
_cell_length_c 11.527
_cell_angle_alpha 90.00
_cell_angle_beta 90.00
_cell_angle_gamma 90.00
_symmetry_space_group_name_H-M 'C m m m'
_symmetry_Int_Tables_number 65
_symmetry_space_group_name_Hall '-C 2 2'
loop_
_atom_site_label
_atom_site_fract_x
_atom_site_fract_y
_atom_site_fract_z
Li1 0.000 0.000 0.000
La1 0.000 0.000 0.500
Zr1 0.000 0.500 0.239

# LiLa2Zr (PBE-GGA, optimized geometry)
# **ΔE to the lowest computed polymorph**: 0.52 eV per formula unit
# **Raw total energy**: -4.8361 eV per atom
# **Energy of formation from the pure elements**: 0.973 eV/f.u.
# **Magnetic moment**: 0.0 Bohr magnetons per cell
data_LiLa2Zr
_cell_length_a 3.407
_cell_length_b 4.951
_cell_length_c 6.699
_cell_angle_alpha 90.00
_cell_angle_beta 90.00
_cell_angle_gamma 90.00
_symmetry_space_group_name_H-M 'P m m 2'
_symmetry_Int_Tables_number 25
_symmetry_space_group_name_Hall 'P 2 -2'
loop_
_atom_site_label
_atom_site_fract_x
_atom_site_fract_y
_atom_site_fract_z
Li1 0.000 0.000 0.000
La1 0.000 0.000 0.456
La2 0.500 0.500 0.757
Zr1 0.500 0.500 0.237

- Which formula does entry 7 have?
  LiLaZr2